# 1
First-principles (PBE-GGA) data for a relaxed structure of LiCo2Os, as listed in Alexandria.

```
LiCo2Os
1.0
4.387 0.007 -0.050
3.656 2.425 -0.050
0.560 0.169 4.485
Co Li Os
2 1 1
Direct
0.006 0.006 0.992
0.494 0.494 0.508
0.250 0.250 0.250
0.750 0.750 0.750
```

D(E_F): 4.95 states/eV/cell
E: -26.32 eV per cell
Symmetry: C2/m
Theoretical density: 10.97 Mg/m³

***

# 2
First-principles (PBE-GGA) data for a relaxed structure of LiCoOs2, as listed in Alexandria.

```
LiCoOs2
1.0
0.000 2.904 2.904
2.904 0.000 2.904
2.904 2.904 0.000
Os Li Co
2 1 1
Direct
0.250 0.250 0.250
0.750 0.750 0.750
0.000 0.000 0.000
0.500 0.500 0.500
```

D(E_F): 4.64 states/eV/cell
E: -29.74 eV per cell
Symmetry: Fm-3m
Theoretical density: 15.13 Mg/m³

***

# 3
First-principles (PBE-GGA) data for a relaxed structure of LiCoOs, as listed in Alexandria.

```
LiCoOs
1.0
6.136 0.000 -0.074
1.543 3.976 -1.552
-1.543 3.976 1.552
Co Os Li
2 2 2
Direct
0.892 0.555 0.445
0.392 0.651 0.349
0.392 0.312 0.020
0.392 0.980 0.688
0.892 0.888 0.789
0.892 0.211 0.112
```

D(E_F): 6.33 states/eV/cell
E: -39.40 eV per cell
Symmetry: Amm2
Theoretical density: 11.37 Mg/m³